[1]
Density functional theory data (GGA-PBEsol) for a relaxed structure of BiPSe3.

a = 4.815 Å, b = 4.815 Å, c = 4.815 Å
α = 90.00°, β = 90.00°, γ = 90.00°
Space group Pm-3m (No. 221)
Asymmetric unit:
Bi: 0.000 0.000 0.000 (multiplicity 1)
P: 0.500 0.500 0.500 (multiplicity 1)
Se: 0.000 0.500 0.500 (multiplicity 3)

## Properties
Uncorrected formation energy: 139 meV/atom



[2]
Density functional theory data (GGA-PBEsol) for a relaxed structure of YMo2Pt.

a = 10.204 Å, b = 3.159 Å, c = 4.696 Å
α = 90.00°, β = 105.51°, γ = 90.00°
Space group C2/m (No. 12)
Asymmetric unit:
Y: 0.000 0.000 0.000 (multiplicity 2)
Mo: 0.232 0.000 0.689 (multiplicity 4)
Pt: 0.000 0.500 0.500 (multiplicity 2)

## Properties
Formation energy from the elements: 0.2 eV/f.u.



Volume across the listed records, respectively: 112, 73 Å³/f.u..
Total moment across the listed records, respectively: 0.0, 0.0 μB/f.u..
Energy above the lowest structure with this stoichiometry across the listed records, respectively: 0.0000, 0.0466 eV per atom.